No. 1
Compound: RbIn2Au
Source: Alexandria
Functional: GGA-PBE
Structure: relaxed

Lattice parameters (Å, degrees): 7.6162 7.6162 7.6162 90.00 90.00 90.00
Space group Fm-3m (No. 225)
Unique sites:
Rb: 0.0000 0.0000 0.0000 [4 per cell]
In: 0.2500 0.2500 0.2500 [8 per cell]
Au: 0.0000 0.0000 0.5000 [4 per cell]

Computed properties:
energy relative to the elements: 84.9 meV per atom
Fermi-level density of states: 6.863 states/eV per cell
mass density: 7.70 g cm⁻³

=====

No. 2
Compound: RbIn2Au2
Source: Alexandria
Functional: GGA-PBE
Structure: relaxed

Lattice parameters (Å, degrees): 4.8932 4.8932 11.7148 90.00 90.00 90.00
Space group I4/mmm (No. 139)
Unique sites:
Rb: 0.0000 0.0000 0.0000 [2 per cell]
In: 0.0000 0.5000 0.2500 [4 per cell]
Au: 0.0000 0.0000 0.3802 [4 per cell]

Computed properties:
energy relative to the elements: -261.1 meV per atom
Fermi-level density of states: 4.230 states/eV per cell
mass density: 8.40 g cm⁻³
excess energy over the best structure of this formula in the dataset: 15 meV per atom

=====

No. 3
Compound: Rb3In2Au2
Source: Alexandria
Functional: GGA-PBE
Structure: relaxed

Lattice parameters (Å, degrees): 5.1278 5.4650 19.9381 90.00 90.00 90.00
Space group Immm (No. 71)
Unique sites:
Rb: 0.0000 0.0000 0.0000 [2 per cell]
Rb: 0.0000 0.5000 0.3037 [4 per cell]
In: 0.0000 0.0000 0.4257 [4 per cell]
Au: 0.0000 0.5000 0.1262 [4 per cell]

Computed properties:
energy relative to the elements: -203.5 meV per atom
Fermi-level density of states: 6.408 states/eV per cell
mass density: 5.23 g cm⁻³

=====

No. 4
Compound: Rb2In4Au5
Source: Alexandria
Functional: GGA-PBE
Structure: relaxed

Lattice parameters (Å, degrees): 6.7947 11.5873 16.0257 90.00 90.00 90.00
Space group Fmmm (No. 69)
Unique sites:
Rb: 0.0000 0.0000 0.1334 [8 per cell]
In: 0.0000 0.1625 0.3725 [16 per cell]
Au: 0.0000 0.0000 0.5000 [4 per cell]
Au: 0.2500 0.2500 0.0000 [8 per cell]
Au: 0.2500 0.2500 0.2500 [8 per cell]

Computed properties:
energy relative to the elements: -254.7 meV per atom
Fermi-level density of states: 11.550 states/eV per cell
mass density: 8.50 g cm⁻³

=====

No. 5
Compound: RbIn3Au2
Source: Alexandria
Functional: GGA-PBE
Structure: relaxed

Lattice parameters (Å, degrees): 12.2277 9.4311 5.7496 90.00 90.00 90.00
Space group Cmcm (No. 63)
Unique sites:
Rb: 0.0000 0.1493 0.2500 [4 per cell]
In: 0.0000 0.4393 0.7500 [4 per cell]
In: 0.1879 0.2338 0.7500 [8 per cell]
Au: 0.2277 0.5000 0.0000 [8 per cell]

Computed properties:
energy relative to the elements: -200.5 meV per atom
Fermi-level density of states: 10.115 states/eV per cell
mass density: 8.25 g cm⁻³
excess energy over the best structure of this formula in the dataset: 29 meV per atom

=====

No. 6
Compound: RbInAu
Source: Alexandria
Functional: GGA-PBE
Structure: relaxed

Lattice parameters (Å, degrees): 4.8013 4.8013 5.4379 90.00 90.00 120.00
Space group P-6m2 (No. 187)
Unique sites:
Rb: 0.0000 0.0000 0.0000 [1 per cell]
In: 0.3333 0.6667 0.5000 [1 per cell]
Au: 0.6667 0.3333 0.5000 [1 per cell]

Computed properties:
energy relative to the elements: -210.7 meV per atom
Fermi-level density of states: 1.808 states/eV per cell
mass density: 6.08 g cm⁻³

=====

No. 7
Compound: Rb3In7Au4
Source: Alexandria
Functional: GGA-PBE
Structure: relaxed

Lattice parameters (Å, degrees): 17.9539 4.9553 10.5509 90.00 123.24 90.00
Space group C2/m (No. 12)
Unique sites:
Rb: 0.0000 0.0000 0.0000 [2 per cell]
Rb: 0.1964 0.5000 0.7015 [4 per cell]
In: 0.0000 0.0000 0.5000 [2 per cell]
In: 0.0012 0.5000 0.2979 [4 per cell]
In: 0.1566 0.0000 0.4302 [4 per cell]
In: 0.1774 0.5000 0.0276 [4 per cell]
Au: 0.1278 0.0000 0.8481 [4 per cell]
Au: 0.1598 0.5000 0.2902 [4 per cell]

Computed properties:
energy relative to the elements: -203.5 meV per atom
Fermi-level density of states: 14.057 states/eV per cell
mass density: 7.82 g cm⁻³

=====

No. 8
Compound: RbIn5Au4
Source: Alexandria
Functional: GGA-PBE
Structure: relaxed

Lattice parameters (Å, degrees): 7.6728 9.7369 7.0634 90.00 90.00 90.00
Space group Pmmn (No. 59, origin choice 2)
Unique sites:
Rb: 0.2500 0.2500 0.0022 [2 per cell]
In: 0.0265 0.5111 0.7182 [8 per cell]
In: 0.2500 0.7500 0.3544 [2 per cell]
Au: 0.0739 0.2500 0.4912 [4 per cell]
Au: 0.2500 0.5934 0.0180 [4 per cell]

Computed properties:
energy relative to the elements: -182.5 meV per atom
Fermi-level density of states: 7.638 states/eV per cell
mass density: 9.11 g cm⁻³

=====

No. 9
Compound: RbInAu2
Source: Alexandria
Functional: GGA-PBE
Structure: relaxed

Lattice parameters (Å, degrees): 4.8377 4.8377 18.7957 90.00 90.00 120.00
Space group R3m (No. 160, hexagonal axes)
Unique sites:
Rb: 0.0000 0.0000 0.0000 [3 per cell]
In: 0.0000 0.0000 0.1914 [3 per cell]
Au: 0.0000 0.0000 0.4931 [3 per cell]
Au: 0.0000 0.0000 0.8054 [3 per cell]

Computed properties:
energy relative to the elements: -246.3 meV per atom
Fermi-level density of states: 6.040 states/eV per cell
mass density: 7.77 g cm⁻³

=====

No. 10
Compound: RbIn2Au
Source: Alexandria
Functional: GGA-PBE
Structure: relaxed

Lattice parameters (Å, degrees): 3.6460 3.6460 8.8250 90.00 90.00 90.00
Space group P4/mmm (No. 123)
Unique sites:
Rb: 0.0000 0.0000 0.0000 [1 per cell]
In: 0.5000 0.5000 0.3197 [2 per cell]
Au: 0.0000 0.0000 0.5000 [1 per cell]

Computed properties:
energy relative to the elements: -130.2 meV per atom
Fermi-level density of states: 2.982 states/eV per cell
mass density: 7.25 g cm⁻³

=====

No. 11
Compound: RbInAu
Source: Alexandria
Functional: GGA-PBE
Structure: relaxed

Lattice parameters (Å, degrees): 4.8213 6.7742 6.8225 96.89 110.59 90.07
Space group P-1 (No. 2)
Unique sites:
Rb: 0.1255 0.3576 0.2506 [2 per cell]
In: 0.4083 0.1348 0.8159 [2 per cell]
Au: 0.2011 0.8934 0.4036 [2 per cell]

Computed properties:
energy relative to the elements: -242.4 meV per atom
Fermi-level density of states: 2.918 states/eV per cell
mass density: 6.38 g cm⁻³

=====

No. 12
Compound: RbIn2Au
Source: Alexandria
Functional: GGA-PBE
Structure: relaxed

Lattice parameters (Å, degrees): 4.8638 4.8638 19.9619 90.00 90.00 120.00
Space group R3m (No. 160, hexagonal axes)
Unique sites:
Rb: 0.0000 0.0000 0.0000 [3 per cell]
In: 0.0000 0.0000 0.5353 [3 per cell]
In: 0.0000 0.0000 0.8002 [3 per cell]
Au: 0.0000 0.0000 0.1826 [3 per cell]

Computed properties:
energy relative to the elements: -201.2 meV per atom
Fermi-level density of states: 6.544 states/eV per cell
mass density: 6.24 g cm⁻³

=====

No. 13
Compound: RbIn2Au2
Source: Alexandria
Functional: GGA-PBE
Structure: relaxed

Lattice parameters (Å, degrees): 11.6848 4.8772 5.3600 90.00 109.94 90.00
Space group C2/m (No. 12)
Unique sites:
Rb: 0.0000 0.0000 0.0000 [2 per cell]
In: 0.1493 0.5000 0.5899 [4 per cell]
Au: 0.2437 0.5000 0.1649 [4 per cell]

Computed properties:
energy relative to the elements: -275.7 meV per atom
Fermi-level density of states: 3.681 states/eV per cell
mass density: 8.20 g cm⁻³
excess energy over the best structure of this formula in the dataset: 0 meV per atom

=====

No. 14
Compound: RbIn2Au
Source: Alexandria
Functional: GGA-PBE
Structure: relaxed

Lattice parameters (Å, degrees): 4.2478 4.2478 30.5156 90.00 90.00 120.00
Space group R-3m (No. 166, hexagonal axes)
Unique sites:
Rb: 0.0000 0.0000 0.0000 [3 per cell]
In: 0.0000 0.0000 0.1193 [6 per cell]
Au: 0.0000 0.0000 0.5000 [3 per cell]

Computed properties:
energy relative to the elements: -7.8 meV per atom
Fermi-level density of states: 6.483 states/eV per cell
mass density: 5.35 g cm⁻³

=====

No. 15
Compound: Rb5InAu4
Source: Alexandria
Functional: GGA-PBE
Structure: relaxed

Lattice parameters (Å, degrees): 21.7490 4.8791 8.5698 90.00 111.37 90.00
Space group C2/m (No. 12)
Unique sites:
Rb: 0.0000 0.0000 0.0000 [2 per cell]
Rb: 0.1390 0.5000 0.7530 [4 per cell]
Rb: 0.1950 0.5000 0.2917 [4 per cell]
In: 0.0000 0.0000 0.5000 [2 per cell]
Au: 0.0341 0.5000 0.3440 [4 per cell]
Au: 0.1206 0.0000 0.4428 [4 per cell]

Computed properties:
energy relative to the elements: -210.2 meV per atom
Fermi-level density of states: 7.875 states/eV per cell
mass density: 5.22 g cm⁻³

=====

No. 16
Compound: RbInAu3
Source: Alexandria
Functional: GGA-PBE
Structure: relaxed

Lattice parameters (Å, degrees): 5.3860 5.3860 5.3860 90.00 90.00 90.00
Space group Pm-3m (No. 221)
Unique sites:
Rb: 0.0000 0.0000 0.0000 [1 per cell]
In: 0.5000 0.5000 0.5000 [1 per cell]
Au: 0.0000 0.5000 0.5000 [3 per cell]

Computed properties:
energy relative to the elements: -74.3 meV per atom
Fermi-level density of states: 1.174 states/eV per cell
mass density: 8.41 g cm⁻³
excess energy over the best structure of this formula in the dataset: 124 meV per atom

=====

No. 17
Compound: Rb2In5Au4
Source: Alexandria
Functional: GGA-PBE
Structure: relaxed

Lattice parameters (Å, degrees): 11.7445 8.1235 8.9958 90.00 125.77 90.00
Space group C2/m (No. 12)
Unique sites:
Rb: 0.0770 0.0000 0.3361 [4 per cell]
In: 0.0000 0.5000 0.5000 [2 per cell]
In: 0.1625 0.3015 0.0893 [8 per cell]
Au: 0.0789 0.5000 0.2644 [4 per cell]
Au: 0.2187 0.5000 0.8731 [4 per cell]

Computed properties:
energy relative to the elements: -204.3 meV per atom
Fermi-level density of states: 10.388 states/eV per cell
mass density: 7.31 g cm⁻³
excess energy over the best structure of this formula in the dataset: 31 meV per atom

=====

No. 18
Compound: Rb2In5Au3
Source: Alexandria
Functional: GGA-PBE
Structure: relaxed

Lattice parameters (Å, degrees): 11.3744 14.3617 7.1562 90.00 90.00 90.00
Space group Ibam (No. 72)
Unique sites:
Rb: 0.2375 0.1250 0.0000 [8 per cell]
In: 0.0000 0.2678 0.2500 [8 per cell]
In: 0.0000 0.5000 0.2500 [4 per cell]
In: 0.1224 0.1214 0.5000 [8 per cell]
Au: 0.0000 0.0000 0.2500 [4 per cell]
Au: 0.1308 0.3832 0.0000 [8 per cell]

Computed properties:
energy relative to the elements: -232.5 meV per atom
Fermi-level density of states: 21.354 states/eV per cell
mass density: 7.59 g cm⁻³
excess energy over the best structure of this formula in the dataset: 0 meV per atom

=====

No. 19
Compound: Rb3In2Au9
Source: Alexandria
Functional: GGA-PBE
Structure: relaxed

Lattice parameters (Å, degrees): 4.8570 10.1844 14.2723 90.00 90.00 90.00
Space group Immm (No. 71)
Unique sites:
Rb: 0.0000 0.0000 0.0000 [2 per cell]
Rb: 0.0000 0.0000 0.2901 [4 per cell]
In: 0.0000 0.1933 0.5000 [4 per cell]
Au: 0.0000 0.2854 0.1289 [8 per cell]
Au: 0.0000 0.3534 0.3358 [8 per cell]
Au: 0.0000 0.5000 0.0000 [2 per cell]

Computed properties:
energy relative to the elements: -156.4 meV per atom
Fermi-level density of states: 6.729 states/eV per cell
mass density: 10.63 g cm⁻³

=====

No. 20
Compound: RbIn6Au3
Source: Alexandria
Functional: GGA-PBE
Structure: relaxed

Lattice parameters (Å, degrees): 10.7562 4.6521 10.9882 90.00 93.82 90.00
Space group P2_1/m (No. 11)
Unique sites:
Rb: 0.1886 0.2500 0.4314 [2 per cell]
In: 0.0545 0.2500 0.7302 [2 per cell]
In: 0.0665 0.7500 0.9173 [2 per cell]
In: 0.2149 0.7500 0.1728 [2 per cell]
In: 0.3497 0.2500 0.8203 [2 per cell]
In: 0.4328 0.7500 0.5825 [2 per cell]
In: 0.4408 0.2500 0.1266 [2 per cell]
Au: 0.1900 0.2500 0.0202 [2 per cell]
Au: 0.2094 0.7500 0.7010 [2 per cell]
Au: 0.4352 0.7500 0.3205 [2 per cell]

Computed properties:
energy relative to the elements: -190.9 meV per atom
Fermi-level density of states: 7.096 states/eV per cell
mass density: 8.26 g cm⁻³